1.
Tb2YEr5Th: optimized geometry, PBE.

Unit cell a=8.744 b=8.744 c=14.901 alpha=90.00 beta=90.00 gamma=90.00
Space group I4/mcm (No. 140)
Symmetry-distinct sites (fractional):
Tb 0.114 0.386 0.000 [8 per cell]
Y 0.000 0.500 0.250 [4 per cell]
Er 0.000 0.000 0.000 [4 per cell]
Er 0.210 0.290 0.364 [16 per cell]
Th 0.000 0.000 0.250 [4 per cell]

Fermi-level density of states = 11.069 states/eV/f.u.
formation enthalpy at 0 K = 315.0 meV per atom
final energy = -4.792 eV per atom
V = 31.64 A^3/atom

***

2.
TbYErTh2: optimized geometry, PBE.

Unit cell a=6.643 b=15.637 c=6.645 alpha=90.00 beta=90.00 gamma=90.00
Space group Cmcm (No. 63)
Symmetry-distinct sites (fractional):
Tb 0.000 0.248 0.250 [4 per cell]
Y 0.000 0.153 0.750 [4 per cell]
Er 0.000 0.349 0.750 [4 per cell]
Th 0.250 0.000 0.000 [8 per cell]

Fermi-level density of states = 6.992 states/eV/f.u.
formation enthalpy at 0 K = 419.1 meV per atom
final energy = -5.680 eV per atom
V = 34.51 A^3/atom

***

3.
Tb6Y2Er3Th: optimized geometry, PBE.

Unit cell a=6.155 b=10.651 c=11.784 alpha=90.00 beta=100.01 gamma=90.00
Space group C2/m (No. 12)
Symmetry-distinct sites (fractional):
Tb 0.245 0.000 0.249 [4 per cell]
Tb 0.249 0.165 0.751 [8 per cell]
Y 0.000 0.333 0.500 [4 per cell]
Er 0.000 0.167 0.000 [4 per cell]
Er 0.000 0.500 0.000 [2 per cell]
Th 0.000 0.000 0.500 [2 per cell]

Fermi-level density of states = 15.764 states/eV/f.u.
formation enthalpy at 0 K = 27.7 meV per atom
final energy = -5.124 eV per atom
V = 31.70 A^3/atom

***

> Which value of Fermi-level density of states does entry 3 give?

15.764 states/eV/f.u.